The following is a DFT calculation (PBE-GGA) of CsSr3Tc after structural relaxation.

a = 6.201 Å, b = 6.201 Å, c = 6.201 Å
α = 90.00°, β = 90.00°, γ = 90.00°
Site moments in Bohr magnetons follow the coordinates.
Element x y z (fractional)
Cs  0.000  0.000  0.000  -0.17
Sr  0.000  0.000  0.500  -0.16
Sr  0.000  0.500  0.000  -0.10
Sr  0.500  0.000  0.000  -0.09
Tc  0.500  0.500  0.500  3.49

Properties
Total DFT energy (no corrections) in eV per atom: -1.496
Formation energy in eV per atom: 1.76
Magnetization in μB per cell: 2.0
Calculated density in g/cm3: 3.44
Symmetry: Pm-3m, No. 221
DOS at the Fermi energy in states/eV/atom: 1.4395